1.
Below is crystalline PrTmTc2O8 at its relaxed geometry, with properties calculated at the PBE level.

## Properties
Its total magnetic moment is 4.00 μB/f.u. The calculation puts the density at 5.08 g cm⁻³. The calculation puts the formation energy (no corrections) at -2.079 eV per atom.

The structure in POSCAR format:
```
PrTmTc2O8
1.0
5.8945 0.0000 0.0000
-2.9472 5.1048 0.0000
0.0000 0.0000 6.8911
Pr Tm Tc O
1 1 2 8
direct
0.0000 0.0000 0.0000
0.0000 0.0000 0.5000
0.6667 0.3333 0.2075
0.3333 0.6667 0.7925
0.3333 0.6667 0.0518
0.3137 0.1562 0.2773
0.8438 0.1574 0.2773
0.6667 0.3333 0.9482
0.1562 0.8426 0.7227
0.6863 0.8438 0.7227
0.1574 0.3137 0.7227
0.8426 0.6863 0.2773
```

2.
Below is crystalline PrTmTcO6 at its relaxed geometry, with properties calculated at the PBE level.

## Properties
Its total magnetic moment is 1.01 μB/f.u. The calculation puts the density at 6.39 g cm⁻³. The calculation puts the formation energy (no corrections) at -2.500 eV per atom.

The structure in POSCAR format:
```
PrTmTcO6
1.0
-2.3610 -3.2192 3.7361
-4.0865 -3.3304 -1.4509
3.3428 -3.6514 -1.0337
Pr Tm Tc O
1 1 1 6
direct
0.0000 0.0000 0.0000
0.6666 0.6667 0.5000
0.3333 0.3333 0.5000
0.0368 0.3392 0.2828
0.3392 0.0368 0.7172
0.6239 0.3392 0.7172
0.0368 0.6240 0.7172
0.3392 0.6240 0.2828
0.6240 0.0368 0.2828
```

3.
Below is crystalline PrYTcO6 at its relaxed geometry, with properties calculated at the PBE level.

## Properties
Its total magnetic moment is 1.01 μB/f.u. The calculation puts the density at 5.28 g cm⁻³. The calculation puts the formation energy (no corrections) at -2.456 eV per atom.

The structure in POSCAR format:
```
PrYTcO6
1.0
5.5243 0.0000 0.0000
2.7622 4.7841 0.0001
0.0001 -0.0001 5.0388
Pr Y Tc O
1 1 1 6
direct
0.0000 0.0000 0.0000
0.6666 0.6667 0.5000
0.3333 0.3333 0.5000
0.0424 0.3342 0.2813
0.3342 0.0424 0.7186
0.6233 0.3342 0.7187
0.0424 0.6234 0.7186
0.3342 0.6234 0.2813
0.6234 0.0424 0.2813
```

4.
Below is crystalline PrTeO at its relaxed geometry, with properties calculated at the PBE level.

## Properties
Its total magnetic moment is 0.00 μB/f.u. The calculation puts the density at 5.95 g cm⁻³. The calculation puts the formation energy (no corrections) at -1.783 eV per atom.

The structure in POSCAR format:
```
PrTeO
1.0
-1.8093 3.2889 -0.3582
-3.1283 -1.8336 -1.0344
-0.7207 -1.3177 11.3880
Pr Te O
2 2 2
direct
0.0681 0.0681 0.1363
0.9319 0.9319 0.8637
0.3347 0.3347 0.6693
0.6653 0.6653 0.3307
0.5000 0.0000 0.0000
0.0000 0.5000 0.0000
```

5.
Below is crystalline Pr3Te2O2 at its relaxed geometry, with properties calculated at the PBE level.

## Properties
Its total magnetic moment is 0.00 μB/f.u. The calculation puts the density at 7.14 g cm⁻³. The calculation puts the formation energy (no corrections) at -2.135 eV per atom.

The structure in POSCAR format:
```
Pr3Te2O2
1.0
-2.2208 -0.5425 -3.0047
5.8773 0.2558 -2.0201
0.3436 -7.0226 3.3883
Pr Te O
3 2 2
direct
0.0000 0.0000 0.0000
0.9037 0.5705 0.2372
0.0963 0.4295 0.7628
0.6938 0.7931 0.5946
0.3062 0.2069 0.4054
0.6165 0.2718 0.9613
0.3835 0.7282 0.0387
```

6.
Below is crystalline Pr3TeO3 at its relaxed geometry, with properties calculated at the PBE level.

## Properties
Its total magnetic moment is 0.02 μB/f.u. The calculation puts the density at 6.17 g cm⁻³. For the offset from the most stable computed form, the calculation gives 0 meV/atom. The calculation puts the formation energy (no corrections) at -2.738 eV per atom.

The structure in POSCAR format:
```
Pr3TeO3
1.0
-0.0040 2.7063 6.4984
-2.4501 -3.8015 5.3944
6.0514 -3.1441 5.1259
Pr Te O
6 2 6
direct
0.2291 0.5701 0.3009
0.8998 0.2291 0.3009
0.5701 0.8998 0.3009
0.4299 0.1002 0.6991
0.1002 0.7709 0.6991
0.7709 0.4299 0.6991
0.3334 0.3334 0.9998
0.6666 0.6666 0.0002
0.4608 0.7916 0.6211
0.7916 0.1264 0.6211
0.1264 0.4608 0.6211
0.8736 0.5392 0.3789
0.2084 0.8736 0.3789
0.5392 0.2084 0.3789
```

7.
Below is crystalline Pr2TeO at its relaxed geometry, with properties calculated at the PBE level.

## Properties
Its total magnetic moment is 0.00 μB/f.u. The calculation puts the density at 7.38 g cm⁻³. For the offset from the most stable computed form, the calculation gives 0 meV/atom. The calculation puts the formation energy (no corrections) at -1.945 eV per atom.

The structure in POSCAR format:
```
Pr2TeO
1.0
-1.9780 -2.3708 -2.4690
-1.5147 -3.4054 1.3183
-7.1918 1.3919 1.2599
Pr Te O
2 1 1
direct
0.7279 0.7279 0.8162
0.2721 0.2721 0.1838
0.5000 0.5000 0.5000
0.0000 0.0000 0.0000
```

8.
Below is crystalline Pr2Te2O at its relaxed geometry, with properties calculated at the PBE level.

## Properties
Its total magnetic moment is 0.00 μB/f.u. The calculation puts the density at 6.31 g cm⁻³. The calculation puts the formation energy (no corrections) at -2.041 eV per atom.

The structure in POSCAR format:
```
Pr2Te2O
1.0
-2.6712 3.0971 -0.8752
-3.3110 -4.1491 -4.5770
-4.6958 -4.7082 7.6650
Pr Te O
4 4 2
direct
0.5793 0.6175 0.1586
0.1647 0.0173 0.3294
0.8353 0.5173 0.6706
0.4207 0.1175 0.8414
0.0303 0.2902 0.0606
0.2020 0.5285 0.4040
0.7980 0.0285 0.5960
0.9697 0.7902 0.9394
0.6281 0.9120 0.2562
0.3719 0.4120 0.7438
```

9.
Below is crystalline Pr4Te2O3 at its relaxed geometry, with properties calculated at the PBE level.

## Properties
Its total magnetic moment is 0.00 μB/f.u. The calculation puts the density at 6.59 g cm⁻³. The calculation puts the formation energy (no corrections) at -2.276 eV per atom.

The structure in POSCAR format:
```
Pr4Te2O3
1.0
-2.9659 -1.6611 5.6027
-0.9306 -6.0892 -2.2980
10.4084 -1.9999 1.0843
Pr Te O
8 4 6
direct
0.7499 0.7500 0.9998
0.7501 0.2500 0.0002
0.2501 0.2500 0.0002
0.2499 0.7500 0.9998
0.2079 0.9996 0.4159
0.7921 0.0004 0.5841
0.2921 0.4996 0.5841
0.7079 0.5004 0.4159
0.1174 0.5004 0.2347
0.8826 0.4996 0.7653
0.3826 0.0004 0.7653
0.6174 0.9996 0.2347
0.0000 0.0000 0.0000
0.5000 0.5000 0.0000
0.5001 0.7500 0.5001
0.9999 0.2500 0.4999
0.4999 0.2500 0.4999
0.0001 0.7500 0.5001
```

10.
Below is crystalline Pr5Te4O at its relaxed geometry, with properties calculated at the PBE level.

## Properties
Its total magnetic moment is 0.00 μB/f.u. The calculation puts the density at 6.77 g cm⁻³. The calculation puts the formation energy (no corrections) at -1.575 eV per atom.

The structure in POSCAR format:
```
Pr5Te4O
1.0
4.3687 0.0000 0.0000
0.0000 4.3687 0.0000
-2.1844 -2.1844 15.8252
Pr Te O
5 4 1
direct
0.0736 0.0736 0.1472
0.5000 0.5000 0.0000
0.9264 0.9264 0.8528
0.2911 0.2911 0.5821
0.7089 0.7089 0.4179
0.3993 0.3993 0.7987
0.8114 0.8114 0.6228
0.1886 0.1886 0.3772
0.6007 0.6007 0.2013
0.0000 0.0000 0.0000
```

11.
Below is crystalline PrTe2O6 at its relaxed geometry, with properties calculated at the PBE level.

## Properties
Its total magnetic moment is 0.00 μB/f.u. The calculation puts the density at 4.64 g cm⁻³. The calculation puts the formation energy (no corrections) at -1.609 eV per atom.

The structure in POSCAR format:
```
PrTe2O6
1.0
-0.9404 7.6284 -1.9091
-5.9415 -3.9156 -1.3763
-2.9176 -1.5862 6.4420
Pr Te O
2 4 12
direct
0.2500 0.9215 0.0785
0.7500 0.0785 0.9215
0.2363 0.3398 0.2829
0.2637 0.7171 0.6602
0.7637 0.6602 0.7171
0.7363 0.2829 0.3398
0.5089 0.3659 0.3008
0.9911 0.6992 0.6341
0.4911 0.6341 0.6992
0.0089 0.3008 0.3659
0.7435 0.1251 0.5933
0.7565 0.4067 0.8749
0.2565 0.8749 0.4067
0.2435 0.5933 0.1251
0.1050 0.1794 0.0731
0.3950 0.9269 0.8206
0.8950 0.8206 0.9269
0.6050 0.0731 0.1794
```

12.
Below is crystalline Pr2TeO6 at its relaxed geometry, with properties calculated at the PBE level.

## Properties
Its total magnetic moment is 0.00 μB/f.u. The calculation puts the density at 6.18 g cm⁻³. For the offset from the most stable computed form, the calculation gives 0 meV/atom. The calculation puts the formation energy (no corrections) at -2.464 eV per atom.

The structure in POSCAR format:
```
Pr2TeO6
1.0
5.5183 0.0000 0.0000
0.0000 9.4817 0.0000
0.0000 0.0000 10.3736
Pr Te O
8 4 24
direct
0.0336 0.2170 0.1380
0.4664 0.7830 0.6380
0.9664 0.7170 0.3620
0.5336 0.2830 0.8620
0.0248 0.1038 0.5412
0.4752 0.8962 0.0412
0.9752 0.6038 0.9588
0.5248 0.3962 0.4588
0.5411 0.0044 0.3569
0.9589 0.9956 0.8569
0.4589 0.5044 0.1431
0.0411 0.4956 0.6431
0.4286 0.1495 0.4762
0.0714 0.8505 0.9762
0.5714 0.6495 0.0238
0.9286 0.3505 0.5238
0.7209 0.3887 0.0650
0.7791 0.6113 0.5650
0.2791 0.8887 0.4350
0.2209 0.1113 0.9350
0.2535 0.4143 0.0090
0.2465 0.5857 0.5090
0.7465 0.9143 0.4910
0.7535 0.0857 0.9910
0.1931 0.6375 0.1759
0.3069 0.3625 0.6759
0.8069 0.1375 0.3241
0.6931 0.8625 0.8241
0.3340 0.0531 0.2138
0.1660 0.9469 0.7138
0.6660 0.5531 0.2862
0.8340 0.4469 0.7862
0.3213 0.3637 0.2563
0.1787 0.6363 0.7563
0.6787 0.8637 0.2437
0.8213 0.1363 0.7437
```

13.
Below is crystalline Pr6Te5O at its relaxed geometry, with properties calculated at the PBE level.

## Properties
Its total magnetic moment is 0.00 μB/f.u. The calculation puts the density at 6.90 g cm⁻³. The calculation puts the formation energy (no corrections) at -1.551 eV per atom.

The structure in POSCAR format:
```
Pr6Te5O
1.0
7.4951 0.2284 0.0000
2.3202 7.3601 0.0000
1.1601 3.6801 6.6057
Pr Te O
6 5 1
direct
0.7895 0.0671 0.2804
0.2105 0.6526 0.2804
0.2414 0.2065 0.0000
0.7586 0.7935 0.0000
0.7895 0.3474 0.7196
0.2105 0.9329 0.7196
0.5000 0.1859 0.6281
0.0000 0.3374 0.3251
0.5000 0.5000 0.0000
0.0000 0.6626 0.6749
0.5000 0.8141 0.3719
0.0000 0.0000 0.0000
```

14.
Below is crystalline Pr2TeO at its relaxed geometry, with properties calculated at the PBE level.

## Properties
Its total magnetic moment is 0.00 μB/f.u. The calculation puts the density at 6.28 g cm⁻³. For the offset from the most stable computed form, the calculation gives 77 meV/atom. The calculation puts the formation energy (no corrections) at -1.868 eV per atom.

The structure in POSCAR format:
```
Pr2TeO
1.0
-0.0684 1.1081 6.5338
-5.0874 -3.4638 0.5342
6.6664 -8.6120 1.5303
Pr Te O
8 4 4
direct
0.7991 0.0167 0.9088
0.2009 0.9833 0.0912
0.7991 0.4833 0.5912
0.2009 0.5167 0.4088
0.8306 0.4626 0.1498
0.1694 0.5374 0.8502
0.8306 0.0374 0.3502
0.1694 0.9626 0.6498
0.3172 0.0168 0.3744
0.6828 0.9832 0.6256
0.3172 0.4832 0.1256
0.6828 0.5168 0.8744
0.1429 0.5840 0.6299
0.8571 0.4160 0.3701
0.1429 0.9160 0.8701
0.8571 0.0840 0.1299
```

15.
Below is crystalline Pr12Te3O5 at its relaxed geometry, with properties calculated at the PBE level.

## Properties
Its total magnetic moment is 0.00 μB/f.u. The calculation puts the density at 6.58 g cm⁻³. The calculation puts the formation energy (no corrections) at -1.678 eV per atom.

The structure in POSCAR format:
```
Pr12Te3O5
1.0
-0.6127 13.0696 5.3460
-8.7234 -0.9726 -11.0781
-3.8848 -9.3219 9.8884
Te O Pr
12 20 48
direct
0.7500 0.3750 0.1250
0.8750 0.7500 0.1250
0.3750 0.7500 0.6250
0.2500 0.1250 0.3750
0.8750 0.1250 0.2500
0.3750 0.6250 0.2500
0.6250 0.3750 0.7500
0.1250 0.8750 0.7500
0.7500 0.8750 0.6250
0.6250 0.2500 0.3750
0.1250 0.2500 0.8750
0.2500 0.6250 0.8750
0.1250 0.3750 0.2500
0.0000 0.5000 0.0000
0.0000 0.0000 0.0000
0.3750 0.2500 0.1250
0.5000 0.0000 0.5000
0.5000 0.5000 0.0000
0.1250 0.7500 0.3750
0.7500 0.1250 0.8750
0.7500 0.6250 0.3750
0.3750 0.1250 0.7500
0.6250 0.8750 0.2500
0.5000 0.5000 0.5000
0.5000 0.0000 0.0000
0.0000 0.0000 0.5000
0.2500 0.3750 0.6250
0.2500 0.8750 0.1250
0.0000 0.5000 0.5000
0.8750 0.2500 0.6250
0.6250 0.7500 0.8750
0.8750 0.6250 0.7500
0.6971 0.1083 0.0099
0.3127 0.5099 0.4015
0.9901 0.3917 0.3029
0.5099 0.1971 0.1083
0.5888 0.6971 0.6873
0.9901 0.5985 0.1873
0.3127 0.8029 0.4112
0.0985 0.9112 0.1083
0.5985 0.9901 0.6873
0.6971 0.5888 0.1873
0.8029 0.4901 0.3917
0.8127 0.9015 0.0099
0.1083 0.6971 0.5099
0.3917 0.4015 0.0888
0.0888 0.9015 0.3917
0.4112 0.1083 0.5985
0.0888 0.1873 0.1971
0.4901 0.6873 0.0985
0.8127 0.9112 0.3029
0.1083 0.4112 0.0985
0.3917 0.9901 0.8029
0.5985 0.6083 0.4112
0.9015 0.8127 0.5099
0.8029 0.3127 0.9112
0.4015 0.3917 0.5888
0.0985 0.1873 0.4901
0.1971 0.6873 0.0888
0.1873 0.0888 0.6971
0.6083 0.0099 0.1971
0.8917 0.5888 0.9015
0.5099 0.3127 0.9015
0.5888 0.8917 0.4015
0.9112 0.8127 0.8029
0.9112 0.0985 0.6083
0.8917 0.3029 0.4901
0.1873 0.0985 0.9901
0.6083 0.5985 0.9112
0.4015 0.0099 0.3127
0.3029 0.4112 0.8127
0.1971 0.5099 0.6083
0.9015 0.0888 0.8917
0.6873 0.1971 0.5888
0.4901 0.8029 0.8917
0.0099 0.4015 0.8127
0.4112 0.3029 0.3127
0.0099 0.6083 0.6971
0.6873 0.4901 0.5985
0.3029 0.8917 0.9901
```

16.
Below is crystalline Pr4Te5O at its relaxed geometry, with properties calculated at the PBE level.

## Properties
Its total magnetic moment is 0.00 μB/f.u. The calculation puts the density at 6.02 g cm⁻³. The calculation puts the formation energy (no corrections) at -1.514 eV per atom.

The structure in POSCAR format:
```
Pr4Te5O
1.0
4.0808 0.0000 0.0000
0.0000 8.0890 -1.2569
-2.0404 -2.5176 10.5697
Pr Te O
4 5 1
direct
0.2806 0.7805 0.5612
0.0002 0.7940 0.0004
0.7194 0.2195 0.4388
0.9998 0.2060 0.9996
0.8426 0.5893 0.6852
0.8424 0.0964 0.6849
0.1576 0.9036 0.3151
0.5000 0.5000 0.0000
0.1574 0.4107 0.3148
0.5000 0.0000 0.0000
```

17.
Below is crystalline Pr3Te2O at its relaxed geometry, with properties calculated at the PBE level.

## Properties
Its total magnetic moment is 0.00 μB/f.u. The calculation puts the density at 5.79 g cm⁻³. The calculation puts the formation energy (no corrections) at -1.616 eV per atom.

The structure in POSCAR format:
```
Pr3Te2O
1.0
6.3060 0.0000 0.0000
0.0000 8.4602 0.0901
0.0000 -4.0662 7.4196
Pr Te O
6 4 2
direct
0.9884 0.8709 0.5833
0.4884 0.4167 0.1291
0.9884 0.5833 0.8709
0.4884 0.1291 0.4167
0.4567 0.9032 0.9032
0.9567 0.0968 0.0968
0.4848 0.7945 0.4893
0.9848 0.5107 0.2055
0.4848 0.4893 0.7945
0.9848 0.2055 0.5107
0.0548 0.8401 0.8401
0.5548 0.1599 0.1599
```